{
  "formula": "Cd2TePt",
  "functional": "GGA-PBE",
  "state": "relaxed",
  "raw_formation_energy_ev_per_atom": 0.008,
  "spacegroup": "I4/mmm (139)",
  "lattice_angstrom": [[-2.175, 2.175, 4.462], [2.175, -2.175, 4.462], [2.175, 2.175, -4.462]],
  "species": ["Cd", "Cd", "Te", "Pt"],
  "frac_coords": [[0.250, 0.750, 0.500], [0.750, 0.250, 0.500], [0.000, 0.000, 0.000], [0.500, 0.500, 0.000]]
}